No. 1
Compound: NaVBr2F
Source: the Alexandria database
Functional: PBE with a Hubbard U
Structure: optimized geometry

total magnetization	3.00	μB/f.u.
total DFT energy (no corrections)	-21.85	eV/cell

Unit cell a=5.387 b=5.387 c=4.102 alpha=90.00 beta=90.00 gamma=90.00
Last column: magnetic moment on the atom in μB.
Atoms (fractional coordinates):
1 Na 0.500 0.500 0.500  0.00
2 F 0.000 0.000 0.500  0.03
3 Br 0.000 0.500 0.000  -0.01
4 Br 0.500 0.000 0.000  -0.01
5 V 0.000 0.000 0.000  2.72

No. 2
Compound: Na3WBr2F6
Source: the Alexandria database
Functional: PBE with a Hubbard U
Structure: optimized geometry

total magnetization	1.00	μB/f.u.
total DFT energy (no corrections)	-53.59	eV/cell

Unit cell a=4.891 b=7.026 c=8.150 alpha=115.53 beta=90.14 gamma=90.00
Last column: magnetic moment on the atom in μB.
Atoms (fractional coordinates):
1 Na 0.000 0.500 0.000  0.00
2 Na 0.500 0.500 0.500  0.00
3 Na 0.500 0.000 0.500  0.00
4 W 0.500 0.000 0.000  0.98
5 Br 0.081 0.690 0.380  0.00
6 Br 0.919 0.310 0.620  0.00
7 F 0.747 0.236 0.063  0.01
8 F 0.253 0.764 0.937  0.01
9 F 0.603 0.871 0.741  0.02
10 F 0.397 0.129 0.259  0.02
11 F 0.253 0.172 0.937  0.01
12 F 0.747 0.828 0.063  0.01

Which of these has the highest total DFT energy (no corrections)? NaVBr2F

Repeat the first record exactly.
Compound: NaVBr2F
Source: the Alexandria database
Functional: PBE with a Hubbard U
Structure: optimized geometry

total magnetization	3.00	μB/f.u.
total DFT energy (no corrections)	-21.85	eV/cell

Unit cell a=5.387 b=5.387 c=4.102 alpha=90.00 beta=90.00 gamma=90.00
Last column: magnetic moment on the atom in μB.
Atoms (fractional coordinates):
1 Na 0.500 0.500 0.500  0.00
2 F 0.000 0.000 0.500  0.03
3 Br 0.000 0.500 0.000  -0.01
4 Br 0.500 0.000 0.000  -0.01
5 V 0.000 0.000 0.000  2.72

Among the records above, which one has the highest total DFT energy (no corrections)? NaVBr2F